## KTmAgTe2 (PBE)

Data for KTmAgTe2 after structural relaxation.

Results
formation energy (no corrections) = -0.790 eV/atom
V = 338 Å³ per cell
space group = P2/c (13)

Lattice parameters (Å, degrees): 8.2652 4.7943 8.5531 90.00 93.91 90.00
Last column: nearest neighbours and their distance in Å.
Positions (direct):
K1 0.0000 0.0620 0.2500  6 Te 3.58-3.75
K2 0.0000 0.9380 0.7500  6 Te 3.58-3.75
Tm1 0.5000 0.4980 0.7500  4 Te 3.01, 4 Ag 3.21-3.22
Tm2 0.5000 0.5020 0.2500  4 Te 3.01, 4 Ag 3.21-3.22
Ag1 0.5000 0.0000 0.0000  2 Te 2.86
Ag2 0.5000 0.0000 0.5000  2 Te 2.86
Te1 0.2488 0.4106 0.9841  1 Ag 2.86, 2 Tm 3.01
Te2 0.2488 0.5894 0.4841  1 Ag 2.86, 2 Tm 3.01
Te3 0.7512 0.4106 0.5159  1 Ag 2.86, 2 Tm 3.01
Te4 0.7512 0.5894 0.0159  1 Ag 2.86, 2 Tm 3.01